No. 1
VASP calculation (PBE) on a relaxed structure of NaBeCl3.

Calculated values
Its calculated total energy is -0.076 hartree per atom. Its density of states at the Fermi level is 2.5 states/eV/cell.

a = 5.007 Å, b = 5.007 Å, c = 5.007 Å
α = 90.00°, β = 90.00°, γ = 90.00°
Atoms (fractional coordinates):
Cl 0.000 0.500 0.000
Cl 0.000 0.000 0.500
Na 0.000 0.000 0.000
Be 0.500 0.500 0.500
Cl 0.500 0.000 0.000

No. 2
VASP calculation (PBE) on a relaxed structure of KHg3Pd3.

Calculated values
Its calculated total energy is -0.088 hartree per atom. Its density of states at the Fermi level is 4.1 states/eV/cell. The formation energy is 108 meV per atom.

a = 7.547 Å, b = 7.547 Å, c = 7.547 Å
α = 90.00°, β = 90.00°, γ = 90.00°
Atoms (fractional coordinates):
Hg 0.000 0.500 0.250
Pd 0.500 0.000 0.250
Pd 0.250 0.500 0.000
Hg 0.750 0.000 0.500
Pd 0.750 0.500 0.000
Hg 0.000 0.500 0.750
Hg 0.500 0.750 0.000
Pd 0.000 0.250 0.500
Hg 0.250 0.000 0.500
K 0.500 0.500 0.500
Pd 0.500 0.000 0.750
Pd 0.000 0.750 0.500
K 0.000 0.000 0.000
Hg 0.500 0.250 0.000

No. 3
VASP calculation (PBE) on a relaxed structure of SbW2Au.

Calculated values
Its calculated total energy is -0.274 hartree per atom. Its density of states at the Fermi level is 3.3 states/eV/cell.

a = 2.884 Å, b = 2.884 Å, c = 8.944 Å
α = 90.00°, β = 90.00°, γ = 103.74°
Atoms (fractional coordinates):
Sb 0.500 0.500 0.750
Au 0.500 0.500 0.250
W 0.000 0.000 0.005
W 0.000 0.000 0.495

No. 4
VASP calculation (PBE) on a relaxed structure of Na2MoRu.

Calculated values
Its calculated total energy is -0.150 hartree per atom. Its density of states at the Fermi level is 5.9 states/eV/cell. The formation energy is 1613 meV per atom.

a = 4.752 Å, b = 4.752 Å, c = 4.752 Å
α = 60.00°, β = 60.00°, γ = 60.00°
Atoms (fractional coordinates):
Na 0.750 0.750 0.750
Na 0.250 0.250 0.250
Mo 0.000 0.000 0.000
Ru 0.500 0.500 0.500

Q: Among the records above, which one has the highest calculated total energy?
A: NaBeCl3

Q: What is the formula in the first record?
A: NaBeCl3

Q: Look up the density of states at the Fermi level of the second one.
A: 4.1 states/eV/cell